1.
Computed, not measured: a relaxed Tl3C4 crystal at the GGA-PBE level of DFT. Values from VASP.

## Properties
excess energy over the best structure of this formula in the dataset: 875.6 meV per atom
DOS at the Fermi energy: 0.463 states/eV/atom
spin magnetization: 0.000 μB per formula unit
formation enthalpy at 0 K: 2.751 eV per atom

Structure (Quantum ESPRESSO input):
```
&SYSTEM
  ibrav = 0, nat = 7, ntyp = 2
/
ATOMIC_SPECIES
Tl 204.38 Tl.upf
C 12.01 C.upf
ATOMIC_POSITIONS crystal
Tl 0.0000 0.0000 0.5000
Tl 0.0000 0.5000 0.0000
Tl 0.5000 0.0000 0.0000
C 0.0000 0.0000 0.0000
C 0.0000 0.5000 0.5000
C 0.5000 0.0000 0.5000
C 0.5000 0.5000 0.0000
CELL_PARAMETERS angstrom
4.9020 0.0000 0.0000
0.0000 4.9020 0.0000
0.0000 0.0000 4.9020
```


2.
Computed, not measured: a relaxed Rb2ZrCuSi crystal at the GGA-PBE level of DFT. Values from VASP.

## Properties
electronic total energy: -2.978 eV/atom
DOS at the Fermi energy: 1.118 states/eV/atom
spin magnetization: 2.510 μB per formula unit

Structure (Quantum ESPRESSO input):
```
&SYSTEM
  ibrav = 0, nat = 5, ntyp = 4
/
ATOMIC_SPECIES
Rb 85.47 Rb.upf
Zr 91.22 Zr.upf
Cu 63.55 Cu.upf
Si 28.09 Si.upf
ATOMIC_POSITIONS crystal
Rb 0.0000 0.5000 0.0000
Rb 0.5000 0.0000 0.0000
Zr 0.0000 0.0000 0.5000
Cu 0.5000 0.5000 0.0000
Si 0.5000 0.5000 0.5000
CELL_PARAMETERS angstrom
6.6022 0.0000 0.0000
0.0000 6.6022 0.0000
0.0000 0.0000 4.3741
```


3.
Computed, not measured: a relaxed InCo2Cl crystal at the GGA-PBE level of DFT. Values from VASP.

## Properties
excess energy over the best structure of this formula in the dataset: 0.0 meV per atom
DOS at the Fermi energy: 1.110 states/eV/atom
spin magnetization: 3.199 μB per formula unit

Structure (Quantum ESPRESSO input):
```
&SYSTEM
  ibrav = 0, nat = 4, ntyp = 3
/
ATOMIC_SPECIES
In 114.82 In.upf
Co 58.93 Co.upf
Cl 35.45 Cl.upf
ATOMIC_POSITIONS crystal
In 0.0000 0.0000 0.0000
Co 0.5056 0.5056 0.5004
Co 0.8702 0.8702 0.4969
Cl 0.2293 0.2293 0.4956
CELL_PARAMETERS angstrom
6.0923 -1.5644 0.0000
6.0923 1.5644 0.0000
-0.0331 0.0000 4.4000
```


4.
Computed, not measured: a relaxed SmHo4Cd crystal at the GGA-PBE level of DFT. Values from VASP.

## Properties
excess energy over the best structure of this formula in the dataset: 66.2 meV per atom
DOS at the Fermi energy: 1.437 states/eV/atom
spin magnetization: 0.000 μB per formula unit
formation enthalpy at 0 K: -0.022 eV per atom

Structure (Quantum ESPRESSO input):
```
&SYSTEM
  ibrav = 0, nat = 12, ntyp = 3
/
ATOMIC_SPECIES
Sm 150.36 Sm.upf
Ho 164.93 Ho.upf
Cd 112.41 Cd.upf
ATOMIC_POSITIONS crystal
Sm 0.0000 0.5000 0.0000
Sm 0.5000 0.0000 0.5000
Ho 0.1641 0.6743 0.4978
Ho 0.2501 0.4192 0.7494
Ho 0.3257 0.8359 0.0022
Ho 0.4192 0.2501 0.2494
Ho 0.5808 0.7499 0.7506
Ho 0.6743 0.1641 0.9978
Ho 0.7499 0.5808 0.2506
Ho 0.8359 0.3257 0.5022
Cd 0.0789 0.9211 0.2500
Cd 0.9211 0.0789 0.7500
CELL_PARAMETERS angstrom
5.2226 -3.0330 0.0000
5.2226 3.0330 0.0000
-3.3923 0.0000 11.1932
```